No. 1
Entry from the Alexandria database: a geometry-optimized YMoC2 structure (GGA-PBE).

Calculated values
Formation energy from the elements in eV per atom: 0.888
DOS at the Fermi energy in states/eV/cell: 2.6
Space group: Fm-3m, No. 225

a = 4.109 Å, b = 4.109 Å, c = 4.109 Å
α = 60.00°, β = 60.00°, γ = 60.00°
Fractional coordinates of all 4 atoms:
Mo  0.500  0.500  0.500
Y  0.000  0.000  0.000
C  0.250  0.250  0.250
C  0.750  0.750  0.750

---

No. 2
Entry from the Alexandria database: a geometry-optimized ZrMnTe2N structure (GGA-PBE).

Calculated values
DOS at the Fermi energy in states/eV/cell: 5.3
Space group: P4/mmm, No. 123
Raw formation energy in meV per atom: 17

a = 5.328 Å, b = 5.328 Å, c = 3.526 Å
α = 90.00°, β = 90.00°, γ = 90.00°
Fractional coordinates of all 5 atoms:
N  0.000  0.000  0.500
Zr  0.500  0.500  0.500
Te  0.000  0.500  0.000
Te  0.500  0.000  0.000
Mn  0.000  0.000  0.000

---

No. 3
Entry from the Alexandria database: a geometry-optimized TlReSi2 structure (GGA-PBE).

Calculated values
DOS at the Fermi energy in states/eV/cell: 2.3
Space group: I4_1/amd, No. 141
Raw formation energy in meV per atom: 631

a = 5.609 Å, b = 5.609 Å, c = 8.280 Å
α = 70.20°, β = 70.20°, γ = 90.00°
Fractional coordinates of all 8 atoms:
Si  0.376  0.125  0.250
Re  0.250  0.750  0.500
Si  0.374  0.625  0.250
Si  0.875  0.626  0.750
Re  0.500  0.500  0.000
Si  0.375  0.624  0.750
Tl  0.000  0.000  0.000
Tl  0.750  0.250  0.500

---

No. 4
Entry from the Alexandria database: a geometry-optimized TlFeSi4 structure (GGA-PBE).

Calculated values
DOS at the Fermi energy in states/eV/cell: 5.4
Space group: F-43m, No. 216
Raw formation energy in meV per atom: 680

a = 5.224 Å, b = 5.224 Å, c = 5.224 Å
α = 60.00°, β = 60.00°, γ = 60.00°
Fractional coordinates of all 6 atoms:
Si  0.374  0.374  0.879
Tl  0.750  0.750  0.750
Si  0.374  0.374  0.374
Si  0.374  0.879  0.374
Fe  0.000  0.000  0.000
Si  0.879  0.374  0.374

---

No. 5
Entry from the Alexandria database: a geometry-optimized TaMn structure (GGA-PBE).

Calculated values
Formation energy from the elements in eV per atom: 0.330
DOS at the Fermi energy in states/eV/cell: 36.4
Space group: Fddd, No. 70

a = 6.274 Å, b = 8.079 Å, c = 9.650 Å
α = 90.00°, β = 90.00°, γ = 90.00°
Fractional coordinates of all 32 atoms:
Ta  0.750  0.558  0.750
Ta  0.500  0.692  0.000
Ta  0.000  0.308  0.500
Mn  0.427  0.750  0.750
Ta  0.000  0.692  0.500
Ta  0.750  0.058  0.250
Ta  0.500  0.192  0.500
Mn  0.927  0.750  0.250
Ta  0.000  0.808  0.000
Mn  0.073  0.750  0.750
Ta  0.500  0.808  0.500
Mn  0.573  0.750  0.250
Ta  0.250  0.942  0.250
Ta  0.250  0.058  0.750
Mn  0.323  0.000  0.000
Mn  0.177  0.000  0.500
Mn  0.677  0.500  0.500
Ta  0.000  0.192  0.000
Ta  0.250  0.442  0.750
Ta  0.500  0.308  0.000
Mn  0.427  0.250  0.250
Mn  0.573  0.250  0.750
Mn  0.177  0.500  0.000
Ta  0.750  0.442  0.250
Ta  0.250  0.558  0.250
Ta  0.750  0.942  0.750
Mn  0.823  0.000  0.500
Mn  0.677  0.000  0.000
Mn  0.073  0.250  0.250
Mn  0.823  0.500  0.000
Mn  0.323  0.500  0.500
Mn  0.927  0.250  0.750

---

No. 6
Entry from the Alexandria database: a geometry-optimized PtIBr6 structure (GGA-PBE).

Calculated values
DOS at the Fermi energy in states/eV/cell: 3.7
Space group: C2/m, No. 12
Raw formation energy in meV per atom: -75

a = 8.224 Å, b = 6.560 Å, c = 6.560 Å
α = 104.71°, β = 107.01°, γ = 107.01°
Fractional coordinates of all 8 atoms:
I  0.000  0.000  0.000
Br  0.295  0.652  0.652
Br  0.699  0.558  0.896
Br  0.699  0.896  0.558
Br  0.301  0.442  0.104
Br  0.705  0.348  0.348
Br  0.301  0.104  0.442
Pt  0.500  0.500  0.500